First-principles (PBE) data for a relaxed NiAsP2S crystal, as listed in Alexandria.

The energy above the most stable polymorph in this dataset is 7 meV/atom. The calculation puts the theoretical density at 4.1 g/cm3. The value obtained for the density of states at the Fermi level is 4.22 states/eV/f.u. Its magnetization is 0.000 μB per atom.

The space group is P4/mmm (No. 123) and the conventional cell measures 4.169, 4.169 and 5.266 Å, with angles of 90.00, 90.00 and 90.00 degrees. The asymmetric unit holds Ni at (0.000, 0.000, 0.000), As at (0.000, 0.000, 0.500), P at (0.000, 0.500, 0.000) and S at (0.500, 0.500, 0.500).